Computed, not measured: an optimized crystal structure of K2Ag3I5 at the PBE level of DFT.

Summary:
**Space group**: No. 12
**Spin magnetization**: 0.000 μB per cell
**Raw formation energy**: -705.1 meV per atom

a b c (Å): 4.6707 8.1447 10.7729
angles (deg): 73.02 77.48 73.34
Fractional positions:
Ag (0.9313, 0.3319, 0.8055)
I (0.8919, 0.7768, 0.4395)
K (0.3331, 0.0920, 0.2418)
Ag (0.5000, 0.5000, 0.5000)
I (0.6682, 0.4602, 0.2035)
I (0.1081, 0.2232, 0.5605)
Ag (0.0687, 0.6681, 0.1945)
I (0.0000, 0.0000, 0.0000)
K (0.6669, 0.9080, 0.7582)
I (0.3318, 0.5398, 0.7965)